# 1
# Ba6P2RhBr3

A relaxed Ba6P2RhBr3 crystal (GGA-PBE, Alexandria via LeMat-Bulk).

Summary:
formation energy (no corrections)	-1.3704	eV/atom
size of the total moment	0.0	μB/cell

a b c (Å): 8.047 8.047 8.466
angles (deg): 99.12 99.12 119.99
Fractional coordinates of all 12 atoms:
Br: 0.500 0.500 0.500
Br: 0.832 0.168 0.500
Br: 0.168 0.832 0.500
Rh: 0.000 0.000 0.000
Ba: 0.070 0.396 0.209
Ba: 0.256 0.256 0.791
Ba: 0.744 0.744 0.209
Ba: 0.396 0.070 0.209
Ba: 0.930 0.604 0.791
Ba: 0.604 0.930 0.791
P: 0.667 0.333 0.000
P: 0.333 0.667 0.000



# 2
# YRu2Cl

A relaxed YRu2Cl crystal (GGA-PBE, Alexandria via LeMat-Bulk).

Summary:
ΔE to the lowest computed polymorph	0.7090	eV per atom
formation energy (no corrections)	0.3821	eV/atom
size of the total moment	0.0	μB/cell

a b c (Å): 5.218 5.218 5.218
angles (deg): 135.11 135.11 65.36
Fractional coordinates of all 4 atoms:
Ru: 0.000 0.000 0.000
Ru: 0.250 0.750 0.500
Y: 0.500 0.500 0.000
Cl: 0.750 0.250 0.500



# 3
# Tc2MoOs

A relaxed Tc2MoOs crystal (GGA-PBE, Alexandria via LeMat-Bulk).

Summary:
ΔE to the lowest computed polymorph	0.0181	eV per atom
formation energy from the elements	83	meV/atom
size of the total moment	0.0	μB/cell

a b c (Å): 3.893 2.763 6.182
angles (deg): 63.43 90.00 90.00
Fractional coordinates of all 4 atoms:
Tc: 0.000 0.999 0.000
Tc: 0.500 0.259 0.242
Mo: 0.000 0.498 0.502
Os: 0.500 0.744 0.756